Below is crystalline KTbV2O6 at its relaxed geometry, with properties calculated at the PBE with a Hubbard U level.

Unit cell a=7.3604 b=7.3604 c=6.0568 alpha=100.85 beta=100.85 gamma=86.12
Fractional coordinates of all 20 atoms:
K 0.1802 0.8198 0.7500
K 0.8198 0.1802 0.2500
Tb 0.4021 0.5979 0.2500
Tb 0.5979 0.4021 0.7500
V 0.1231 0.3022 0.7886
V 0.3022 0.1231 0.2886
V 0.6978 0.8769 0.7114
V 0.8769 0.6978 0.2114
O 0.1040 0.6131 0.2936
O 0.1422 0.1741 0.0274
O 0.1741 0.1422 0.5274
O 0.3143 0.4631 0.8747
O 0.3869 0.8960 0.2064
O 0.4631 0.3143 0.3747
O 0.5369 0.6857 0.6253
O 0.6131 0.1040 0.7936
O 0.6857 0.5369 0.1253
O 0.8259 0.8578 0.4726
O 0.8578 0.8259 0.9726
O 0.8960 0.3869 0.7064

Volume ... 15.82 Å³ per atom
E ... -148.5 eV/cell
SG ... C2/c